Record 1
Pu2TlPt | PBE | relaxed

Offset from the most stable computed form in kJ/mol of atoms: 6.1
E_tot in eV per atom: -9.4940
Size of the total moment in μB per formula unit: 11.26

Unit cell a=5.451 b=5.451 c=3.266 alpha=90.00 beta=90.00 gamma=90.00
Space group P4/mmm (No. 123)
Asymmetric unit:
Pu 0.000 0.500 0.000 (multiplicity 2)
Tl 0.000 0.000 0.500 (multiplicity 1)
Pt 0.500 0.500 0.500 (multiplicity 1)



Record 2
CdIn2GeRh | PBE | relaxed

E_tot in eV per atom: -3.7091
Size of the total moment in μB per formula unit: 0.00

Unit cell a=5.230 b=5.230 c=4.685 alpha=90.00 beta=90.00 gamma=90.00
Space group P4/mmm (No. 123)
Asymmetric unit:
Cd 0.000 0.000 0.000 (multiplicity 1)
In 0.000 0.500 0.500 (multiplicity 2)
Ge 0.500 0.500 0.000 (multiplicity 1)
Rh 0.500 0.500 0.500 (multiplicity 1)



Record 3
Ta2CoSe | PBE | relaxed

E_tot in eV per atom: -8.5222
Size of the total moment in μB per formula unit: 0.94
E_form (uncorrected) in eV per atom: 0.052

Unit cell a=3.049 b=3.577 c=5.840 alpha=90.00 beta=90.00 gamma=90.00
Space group Pmmm (No. 47)
Asymmetric unit:
Ta 0.000 0.000 0.232 (multiplicity 2)
Co 0.500 0.500 0.000 (multiplicity 1)
Se 0.500 0.500 0.500 (multiplicity 1)



Record 4
NaErAl | PBE | relaxed

E_tot in eV per atom: -3.0592
Size of the total moment in μB per formula unit: 0.00

Unit cell a=16.805 b=3.371 c=5.690 alpha=90.00 beta=90.00 gamma=90.00
Space group Amm2 (No. 38)
Asymmetric unit:
Na 0.160 0.000 0.000 (multiplicity 4)
Er 0.357 0.000 0.353 (multiplicity 4)
Al 0.000 0.000 0.342 (multiplicity 2)
Al 0.500 0.000 0.014 (multiplicity 2)



Record 5
Sr2Al2CuPt5 | PBE | relaxed

E_tot in eV per atom: -5.1872
Size of the total moment in μB per formula unit: 0.00

Unit cell a=10.341 b=10.341 c=3.439 alpha=90.00 beta=90.00 gamma=90.00
Space group P4/mbm (No. 127)
Asymmetric unit:
Sr 0.176 0.324 0.000 (multiplicity 4)
Al 0.127 0.627 0.000 (multiplicity 4)
Cu 0.000 0.000 0.000 (multiplicity 2)
Pt 0.000 0.500 0.500 (multiplicity 2)
Pt 0.061 0.800 0.500 (multiplicity 8)



Record 6
Tb2PuTe | PBE | relaxed

Offset from the most stable computed form in kJ/mol of atoms: 5.3
E_tot in eV per atom: -7.0966
Size of the total moment in μB per formula unit: 7.47
E_form (uncorrected) in eV per atom: -0.413

Unit cell a=3.8480 b=3.8480 c=29.5224 alpha=90.00 beta=90.00 gamma=120.00
Space group R-3m (No. 166, hexagonal axes)
Asymmetric unit:
Tb 0.0000 0.0000 0.2393 (multiplicity 6)
Pu 0.0000 0.0000 0.0000 (multiplicity 3)
Te 0.0000 0.0000 0.5000 (multiplicity 3)